Compound: LaMnN2O
Source: Alexandria via LeMat-Bulk
Functional: GGA+U
Structure: relaxed

Computed properties:
Volume: 12.0 A^3/atom
Total energy: -7.66 eV per atom

Unit cell a=3.8636 b=3.8636 c=4.0324 alpha=90.00 beta=90.00 gamma=90.00
Element x y z (fractional)
N1 0.0000 0.5000 0.0000
N2 0.5000 0.0000 0.0000
Mn1 0.0000 0.0000 0.0000
O1 0.0000 0.0000 0.5000
La1 0.5000 0.5000 0.5000